Entry 1:
Compound: CsScTe2N
Source: the Alexandria database
Functional: SCAN
Structure: single point on PBEsol structure

The calculation puts the density of states at the Fermi level at 4.1 states/eV/f.u. The calculation puts the formation energy (no corrections) at -0.3596 eV per atom. The value obtained for the mass density is 5.05 g/cm3.

Lattice parameters (Å, degrees): 6.0950 6.0950 3.9584 90.00 90.00 90.00
Fractional coordinates of all 5 atoms:
Cs: 0.0000 0.0000 0.0000
Sc: 0.5000 0.5000 0.5000
Te: 0.0000 0.5000 0.5000
Te: 0.5000 0.0000 0.5000
N: 0.5000 0.5000 0.0000

---

Entry 2:
Compound: CsSrSeN2
Source: the Alexandria database
Functional: SCAN
Structure: single point on PBEsol structure

The calculation puts the density of states at the Fermi level at 3.2 states/eV/f.u. The calculation puts the formation energy (no corrections) at 0.4836 eV per atom. The value obtained for the mass density is 3.51 g/cm3.

Lattice parameters (Å, degrees): 5.1027 5.1027 5.9550 90.00 90.00 90.00
Fractional coordinates of all 5 atoms:
Cs: 0.0000 0.0000 0.0000
Sr: 0.5000 0.5000 0.5000
Se: 0.5000 0.5000 0.0000
N: 0.0000 0.5000 0.5000
N: 0.5000 0.0000 0.5000

---

Entry 3:
Compound: CsTcSeN2
Source: the Alexandria database
Functional: SCAN
Structure: single point on PBEsol structure

The calculation puts the density of states at the Fermi level at 2.1 states/eV/f.u. The calculation puts the formation energy (no corrections) at 2.6747 eV per atom. The value obtained for the mass density is 5.09 g/cm3.

Lattice parameters (Å, degrees): 4.1273 4.1273 6.4773 90.00 90.00 90.00
Fractional coordinates of all 5 atoms:
Cs: 0.0000 0.0000 0.0000
Tc: 0.5000 0.5000 0.5000
Se: 0.0000 0.0000 0.5000
N: 0.0000 0.5000 0.0000
N: 0.5000 0.0000 0.0000

---

Entry 4:
Compound: CsZrSe2N
Source: the Alexandria database
Functional: SCAN
Structure: single point on PBEsol structure

The calculation puts the density of states at the Fermi level at 2.2 states/eV/f.u. The calculation puts the formation energy (no corrections) at -0.7832 eV per atom. The value obtained for the mass density is 5.27 g/cm3.

Lattice parameters (Å, degrees): 5.3885 5.3885 4.2986 90.00 90.00 90.00
Fractional coordinates of all 5 atoms:
Cs: 0.0000 0.0000 0.0000
Zr: 0.5000 0.5000 0.5000
Se: 0.0000 0.5000 0.5000
Se: 0.5000 0.0000 0.5000
N: 0.5000 0.5000 0.0000

---

Entry 5:
Compound: CsZrSeN2
Source: the Alexandria database
Functional: SCAN
Structure: single point on PBEsol structure

The calculation puts the density of states at the Fermi level at 2.2 states/eV/f.u. The calculation puts the formation energy (no corrections) at 1.9628 eV per atom. The value obtained for the mass density is 5.35 g/cm3.

Lattice parameters (Å, degrees): 4.1499 4.1499 5.9692 90.00 90.00 90.00
Fractional coordinates of all 5 atoms:
Cs: 0.0000 0.0000 0.0000
Zr: 0.5000 0.5000 0.5000
Se: 0.0000 0.0000 0.5000
N: 0.0000 0.5000 0.0000
N: 0.5000 0.0000 0.0000

---

Entry 6:
Compound: CsSi3N
Source: the Alexandria database
Functional: SCAN
Structure: single point on PBEsol structure

The calculation puts the density of states at the Fermi level at 3.0 states/eV/f.u. The calculation puts the formation energy (no corrections) at 3.3510 eV per atom. The value obtained for the mass density is 2.19 g/cm3.

Lattice parameters (Å, degrees): 5.5979 5.5979 5.5979 90.00 90.00 90.00
Fractional coordinates of all 5 atoms:
Cs: 0.0000 0.0000 0.0000
Si: 0.0000 0.0000 0.5000
Si: 0.0000 0.5000 0.0000
Si: 0.5000 0.0000 0.0000
N: 0.5000 0.5000 0.5000

---

Please write out number 2 again, unchanged.
Compound: CsSrSeN2
Source: the Alexandria database
Functional: SCAN
Structure: single point on PBEsol structure

The calculation puts the density of states at the Fermi level at 3.2 states/eV/f.u. The calculation puts the formation energy (no corrections) at 0.4836 eV per atom. The value obtained for the mass density is 3.51 g/cm3.

Lattice parameters (Å, degrees): 5.1027 5.1027 5.9550 90.00 90.00 90.00
Fractional coordinates of all 5 atoms:
Cs: 0.0000 0.0000 0.0000
Sr: 0.5000 0.5000 0.5000
Se: 0.5000 0.5000 0.0000
N: 0.0000 0.5000 0.5000
N: 0.5000 0.0000 0.5000

---

What is the formation energy (no corrections) in the sixth record? 3.3510 eV per atom